Compound: ScP3O9
Source: the Alexandria database
Functional: meta-GGA SCAN
Structure: single point on PBEsol structure

Lattice parameters (Å, degrees): 12.501 12.501 12.501 109.47 109.47 109.47
Element x y z (fractional)
1 Sc 0.000 0.208 0.500
2 Sc 0.000 0.708 0.500
3 Sc 0.208 0.500 0.000
4 Sc 0.292 0.292 0.292
5 Sc 0.500 0.000 0.208
6 Sc 0.500 0.000 0.708
7 Sc 0.708 0.500 0.000
8 Sc 0.792 0.792 0.792
9 P 0.043 0.332 0.124
10 P 0.081 0.957 0.789
11 P 0.124 0.043 0.332
12 P 0.168 0.211 0.792
13 P 0.208 0.876 0.419
14 P 0.211 0.792 0.168
15 P 0.289 0.457 0.581
16 P 0.292 0.711 0.668
17 P 0.332 0.124 0.043
18 P 0.376 0.708 0.919
19 P 0.419 0.208 0.876
20 P 0.457 0.581 0.289
21 P 0.543 0.624 0.832
22 P 0.581 0.289 0.457
23 P 0.624 0.832 0.543
24 P 0.668 0.292 0.711
25 P 0.708 0.919 0.376
26 P 0.711 0.668 0.292
27 P 0.789 0.081 0.957
28 P 0.792 0.168 0.211
29 P 0.832 0.543 0.624
30 P 0.876 0.419 0.208
31 P 0.919 0.376 0.708
32 P 0.957 0.789 0.081
33 O 0.003 0.409 0.221
34 O 0.028 0.417 0.836
35 O 0.078 0.887 0.664
36 O 0.080 0.191 0.664
37 O 0.083 0.111 0.420
38 O 0.086 0.808 0.422
39 O 0.091 0.094 0.812
40 O 0.094 0.812 0.091
41 O 0.111 0.420 0.083
42 O 0.113 0.278 0.192
43 O 0.164 0.387 0.578
44 O 0.164 0.691 0.580
45 O 0.188 0.779 0.283
46 O 0.191 0.664 0.080
47 O 0.192 0.113 0.278
48 O 0.217 0.997 0.906
49 O 0.221 0.003 0.409
50 O 0.222 0.336 0.914
51 O 0.278 0.192 0.113
52 O 0.279 0.688 0.783
53 O 0.283 0.188 0.779
54 O 0.308 0.586 0.922
55 O 0.309 0.389 0.472
56 O 0.312 0.594 0.591
57 O 0.336 0.914 0.222
58 O 0.336 0.917 0.528
59 O 0.387 0.578 0.164
60 O 0.389 0.472 0.309
61 O 0.406 0.497 0.717
62 O 0.409 0.221 0.003
63 O 0.414 0.836 0.722
64 O 0.417 0.836 0.028
65 O 0.420 0.083 0.111
66 O 0.422 0.086 0.808
67 O 0.472 0.309 0.389
68 O 0.497 0.717 0.406
69 O 0.503 0.721 0.909
70 O 0.528 0.336 0.917
71 O 0.578 0.164 0.387
72 O 0.580 0.164 0.691
73 O 0.583 0.920 0.611
74 O 0.586 0.922 0.308
75 O 0.591 0.312 0.594
76 O 0.594 0.591 0.312
77 O 0.611 0.583 0.920
78 O 0.613 0.692 0.778
79 O 0.664 0.078 0.887
80 O 0.664 0.080 0.191
81 O 0.688 0.783 0.279
82 O 0.691 0.580 0.164
83 O 0.692 0.778 0.613
84 O 0.717 0.406 0.497
85 O 0.721 0.909 0.503
86 O 0.722 0.414 0.836
87 O 0.778 0.613 0.692
88 O 0.779 0.283 0.188
89 O 0.783 0.279 0.688
90 O 0.808 0.422 0.086
91 O 0.809 0.972 0.889
92 O 0.812 0.091 0.094
93 O 0.836 0.028 0.417
94 O 0.836 0.722 0.414
95 O 0.887 0.664 0.078
96 O 0.889 0.809 0.972
97 O 0.906 0.217 0.997
98 O 0.909 0.503 0.721
99 O 0.914 0.222 0.336
100 O 0.917 0.528 0.336
101 O 0.920 0.611 0.583
102 O 0.922 0.308 0.586
103 O 0.972 0.889 0.809
104 O 0.997 0.906 0.217

Values from the calculation:
Uncorrected formation energy ... -35.84 eV per formula unit
Space-group type ... I-43d, No. 220
M_tot ... 0.00 μB/f.u.

Compound: ScP3O9
Source: the Alexandria database
Functional: meta-GGA SCAN
Structure: single point on PBEsol structure

Lattice parameters (Å, degrees): 11.948 11.948 9.755 110.06 110.06 110.53
Element x y z (fractional)
1 Sc 0.078 0.922 0.500
2 Sc 0.227 0.739 0.964
3 Sc 0.412 0.591 0.500
4 Sc 0.591 0.412 0.000
5 Sc 0.739 0.227 0.464
6 Sc 0.922 0.078 0.000
7 P 0.000 0.273 0.819
8 P 0.150 0.549 0.149
9 P 0.206 0.480 0.651
10 P 0.239 0.287 0.774
11 P 0.273 0.000 0.319
12 P 0.287 0.239 0.274
13 P 0.332 0.941 0.808
14 P 0.480 0.206 0.151
15 P 0.549 0.150 0.649
16 P 0.565 0.944 0.757
17 P 0.584 0.868 0.205
18 P 0.619 0.676 0.334
19 P 0.676 0.619 0.834
20 P 0.824 0.887 0.167
21 P 0.868 0.584 0.705
22 P 0.887 0.824 0.667
23 P 0.941 0.332 0.308
24 P 0.944 0.565 0.257
25 O 0.015 0.674 0.856
26 O 0.018 0.902 0.671
27 O 0.026 0.406 0.971
28 O 0.058 0.600 0.205
29 O 0.070 0.361 0.466
30 O 0.137 0.153 0.132
31 O 0.149 0.939 0.336
32 O 0.153 0.137 0.632
33 O 0.159 0.322 0.868
34 O 0.167 0.544 0.773
35 O 0.231 0.523 0.276
36 O 0.231 0.654 0.117
37 O 0.250 0.811 0.804
38 O 0.259 0.385 0.696
39 O 0.260 0.920 0.153
40 O 0.267 0.946 0.650
41 O 0.313 0.579 0.636
42 O 0.322 0.159 0.368
43 O 0.341 0.382 0.415
44 O 0.361 0.070 0.966
45 O 0.382 0.341 0.915
46 O 0.385 0.259 0.196
47 O 0.406 0.026 0.471
48 O 0.441 0.820 0.071
49 O 0.468 0.800 0.598
50 O 0.488 0.976 0.859
51 O 0.516 0.594 0.369
52 O 0.523 0.231 0.776
53 O 0.544 0.167 0.273
54 O 0.563 0.762 0.271
55 O 0.579 0.313 0.136
56 O 0.594 0.516 0.869
57 O 0.596 0.650 0.713
58 O 0.600 0.058 0.705
59 O 0.650 0.596 0.213
60 O 0.654 0.231 0.617
61 O 0.664 0.840 0.107
62 O 0.674 0.015 0.356
63 O 0.705 0.979 0.884
64 O 0.759 0.803 0.513
65 O 0.762 0.563 0.771
66 O 0.800 0.468 0.098
67 O 0.803 0.759 0.013
68 O 0.811 0.250 0.304
69 O 0.820 0.441 0.571
70 O 0.840 0.664 0.607
71 O 0.888 0.889 0.829
72 O 0.889 0.888 0.329
73 O 0.902 0.018 0.171
74 O 0.920 0.260 0.653
75 O 0.939 0.149 0.836
76 O 0.946 0.267 0.150
77 O 0.976 0.488 0.359
78 O 0.979 0.705 0.384

Values from the calculation:
Uncorrected formation energy ... -35.82 eV per formula unit
Space-group type ... Cc, No. 9
M_tot ... 0.00 μB/f.u.

Compound: ScSnP2O
Source: the Alexandria database
Functional: meta-GGA SCAN
Structure: single point on PBEsol structure

Lattice parameters (Å, degrees): 5.092 5.092 3.834 90.00 90.00 90.00
Element x y z (fractional)
1 Sc 0.000 0.000 0.000
2 Sn 0.500 0.500 0.500
3 P 0.000 0.500 0.000
4 P 0.500 0.000 0.000
5 O 0.000 0.000 0.500

Values from the calculation:
Uncorrected formation energy ... -2.16 eV per formula unit
Space-group type ... P4/mmm, No. 123
M_tot ... 0.00 μB/f.u.

Compound: ScTcP2O
Source: the Alexandria database
Functional: meta-GGA SCAN
Structure: single point on PBEsol structure

Lattice parameters (Å, degrees): 4.738 4.738 3.634 90.00 90.00 90.00
Element x y z (fractional)
1 Sc 0.000 0.000 0.000
2 Tc 0.500 0.500 0.500
3 P 0.000 0.500 0.500
4 P 0.500 0.000 0.500
5 O 0.500 0.500 0.000

Values from the calculation:
Uncorrected formation energy ... -3.15 eV per formula unit
Space-group type ... P4/mmm, No. 123
Distance to the lowest polymorph of the same formula ... 0.000 eV per atom
M_tot ... 0.00 μB/f.u.